Entry 1:
The following is a PBEsol calculation of a relaxed structure of Be3SnP, from Alexandria via LeMat-Bulk.

a = 4.1999 Å, b = 4.1999 Å, c = 4.1999 Å
α = 90.00°, β = 90.00°, γ = 90.00°
Last column: nearest neighbours and their distance in Å.
Fractional positions:
P1 0.0000 0.0000 0.0000  6 Be 2.10
Sn1 0.5000 0.5000 0.5000  12 Be 2.97
Be1 0.0000 0.5000 0.0000  2 P 2.10
Be2 0.0000 0.0000 0.5000  2 P 2.10
Be3 0.5000 0.0000 0.0000  2 P 2.10

calculated formation energy = 2.8 eV/f.u.
DFT total energy = -3.853 eV/atom
density of states at the Fermi level = 2.2 states/eV/cell
crystal system = cubic
space-group type = Pm-3m, No. 221

Entry 2:
The following is a PBEsol calculation of a relaxed structure of SrBeP2, from Alexandria via LeMat-Bulk.

a = 3.8734 Å, b = 3.7211 Å, c = 6.4536 Å
α = 90.00°, β = 90.00°, γ = 121.36°
Last column: nearest neighbours and their distance in Å.
Fractional positions:
Sr1 0.5000 0.0000 0.5000  4 P 2.86
P1 0.0000 0.0000 0.8254  2 Be 2.24, 1 P 2.25
P2 0.0000 0.0000 0.1746  2 Be 2.24, 1 P 2.25
Be1 0.5000 0.0000 0.0000  4 P 2.24

calculated formation energy = -0.7 eV/f.u.
DFT total energy = -4.534 eV/atom
density of states at the Fermi level = 1.3 states/eV/cell
crystal system = orthorhombic
space-group type = Cmmm, No. 65